No. 1
# Pr5Sb5H2 (PBE, relaxed)
data_Pr5Sb5H2
_chemical_formula_sum 'Pr10 Sb10 H4'
_cell_length_a 15.146
_cell_length_b 4.382
_cell_length_c 12.126
_cell_angle_alpha 90.00
_cell_angle_beta 120.59
_cell_angle_gamma 90.00
_space_group_name_H-M_alt 'C 1 2/m 1'
_space_group_IT_number 12
_space_group_name_Hall '-C 2y'
loop_
_atom_site_label
_atom_site_fract_x
_atom_site_fract_y
_atom_site_fract_z
Pr1 0.000 0.000 0.000
Pr2 0.100 0.000 0.412
Pr3 0.178 0.500 0.781
Sb1 0.000 0.500 0.500
Sb2 0.160 0.500 0.035
Sb3 0.190 0.500 0.299
H1 0.077 0.000 0.756
# Size of the total moment = 0.000 μB/f.u.
# Final energy = -5.025 eV per atom

=====

No. 2
# Ac2LaEr (PBE, relaxed)
data_Ac2LaEr
_chemical_formula_sum 'Ac2 La1 Er1'
_cell_length_a 3.864
_cell_length_b 3.864
_cell_length_c 10.465
_cell_angle_alpha 90.00
_cell_angle_beta 90.00
_cell_angle_gamma 90.00
_space_group_name_H-M_alt 'P 4/m m m'
_space_group_IT_number 123
_space_group_name_Hall '-P 4 2'
loop_
_atom_site_label
_atom_site_fract_x
_atom_site_fract_y
_atom_site_fract_z
Ac1 0.000 0.000 0.241
La1 0.500 0.500 0.500
Er1 0.500 0.500 0.000
# Relative energy among the computed polymorphs = 0.013 eV per atom
# Calculated formation energy = 4.4 kJ/mol of atoms
# Size of the total moment = 0.000 μB/f.u.
# Final energy = -4.381 eV per atom

=====

No. 3
# Ac2ZnP (PBE, relaxed)
data_Ac2ZnP
_chemical_formula_sum 'Ac6 Zn3 P3'
_cell_length_a 4.1702
_cell_length_b 4.1702
_cell_length_c 30.9104
_cell_angle_alpha 90.00
_cell_angle_beta 90.00
_cell_angle_gamma 120.00
_space_group_name_H-M_alt 'R -3 m'
_space_group_IT_number 166
_space_group_name_Hall '-R 3 2"'
loop_
_atom_site_label
_atom_site_fract_x
_atom_site_fract_y
_atom_site_fract_z
Ac1 0.0000 0.0000 0.1089
Zn1 0.0000 0.0000 0.0000
P1 0.0000 0.0000 0.5000
# Relative energy among the computed polymorphs = 0.328 eV per atom
# Calculated formation energy = -37.3 kJ/mol of atoms
# Size of the total moment = 0.495 μB/f.u.
# Final energy = -4.112 eV per atom

=====

No. 4
# Na2SnF6 (PBE, relaxed)
data_Na2SnF6
_chemical_formula_sum 'Na4 Sn2 F12'
_cell_length_a 5.817
_cell_length_b 5.642
_cell_length_c 10.569
_cell_angle_alpha 90.00
_cell_angle_beta 120.99
_cell_angle_gamma 90.00
_space_group_name_H-M_alt 'P 1 21/c 1'
_space_group_IT_number 14
_space_group_name_Hall '-P 2ybc'
loop_
_atom_site_label
_atom_site_fract_x
_atom_site_fract_y
_atom_site_fract_z
Na1 0.192 0.014 0.201
Sn1 0.500 0.000 0.000
F1 0.200 0.180 0.995
F2 0.213 0.716 0.350
F3 0.483 0.192 0.836
# Raw formation energy = -2693 meV/atom
# Size of the total moment = 0.107 μB/f.u.
# Final energy = -4.678 eV per atom

=====

No. 5
# CaTeAs2 (PBE, relaxed)
data_CaTeAs2
_chemical_formula_sum 'Ca1 Te1 As2'
_cell_length_a 4.429
_cell_length_b 4.429
_cell_length_c 4.870
_cell_angle_alpha 90.00
_cell_angle_beta 90.00
_cell_angle_gamma 90.00
_space_group_name_H-M_alt 'P 4/m m m'
_space_group_IT_number 123
_space_group_name_Hall '-P 4 2'
loop_
_atom_site_label
_atom_site_fract_x
_atom_site_fract_y
_atom_site_fract_z
Ca1 0.000 0.000 0.000
Te1 0.500 0.500 0.000
As1 0.000 0.500 0.500
# Raw formation energy = -346 meV/atom
# Size of the total moment = 0.000 μB/f.u.
# Final energy = -3.956 eV per atom

=====

No. 6
# MnFeTe2I (PBE, relaxed)
data_MnFeTe2I
_chemical_formula_sum 'Mn1 Fe1 Te2 I1'
_cell_length_a 5.057
_cell_length_b 5.057
_cell_length_c 5.670
_cell_angle_alpha 90.00
_cell_angle_beta 90.00
_cell_angle_gamma 90.00
_space_group_name_H-M_alt 'P 4/m m m'
_space_group_IT_number 123
_space_group_name_Hall '-P 4 2'
loop_
_atom_site_label
_atom_site_fract_x
_atom_site_fract_y
_atom_site_fract_z
Mn1 0.000 0.000 0.000
Fe1 0.500 0.500 0.500
Te1 0.000 0.500 0.500
I1 0.500 0.500 0.000
# Relative energy among the computed polymorphs = 0.000 eV per atom
# Raw formation energy = 618 meV/atom
# Size of the total moment = 8.230 μB/f.u.
# Final energy = -4.475 eV per atom

=====

No. 7
# CdIn3Pb (PBE, relaxed)
data_CdIn3Pb
_chemical_formula_sum 'Cd2 In6 Pb2'
_cell_length_a 3.3449
_cell_length_b 3.3449
_cell_length_c 28.4401
_cell_angle_alpha 90.00
_cell_angle_beta 90.00
_cell_angle_gamma 120.00
_space_group_name_H-M_alt 'P 63 m c'
_space_group_IT_number 186
_space_group_name_Hall 'P 6c -2c'
loop_
_atom_site_label
_atom_site_fract_x
_atom_site_fract_y
_atom_site_fract_z
Cd1 0.0000 0.0000 0.0000
In1 0.0000 0.0000 0.3046
In2 0.3333 0.6667 0.0942
In3 0.3333 0.6667 0.4045
Pb1 0.3333 0.6667 0.6990
# Relative energy among the computed polymorphs = 0.000 eV per atom
# Calculated formation energy = 3.4 kJ/mol of atoms
# Size of the total moment = 0.000 μB/f.u.
# Final energy = -2.532 eV per atom

=====

No. 8
# ScSiMo (PBE, relaxed)
data_ScSiMo
_chemical_formula_sum 'Sc1 Si1 Mo1'
_cell_length_a 3.2551
_cell_length_b 3.2551
_cell_length_c 5.8428
_cell_angle_alpha 90.00
_cell_angle_beta 90.00
_cell_angle_gamma 120.00
_space_group_name_H-M_alt 'P 3 m 1'
_space_group_IT_number 156
_space_group_name_Hall 'P 3 -2"'
loop_
_atom_site_label
_atom_site_fract_x
_atom_site_fract_y
_atom_site_fract_z
Sc1 0.0000 0.0000 0.0000
Si1 0.6667 0.3333 0.3494
Mo1 0.3333 0.6667 0.6222
# Raw formation energy = -63 meV/atom
# Size of the total moment = 0.000 μB/f.u.
# Final energy = -7.591 eV per atom